## CaMo3O (GGA+U)

Data for a relaxed structure of CaMo3O. Values from VASP.

Values from the calculation:
Energy above the lowest structure with this stoichiometry ... 1900.1 meV/atom
Space-group type ... No. 221
Mass density ... 2.82 Mg/m³
Total magnetic moment ... 15.9 μB per cell

```
&SYSTEM
  ibrav = 0, nat = 5, ntyp = 3
/
ATOMIC_SPECIES
Mo 95.94 Mo.upf
Ca 40.08 Ca.upf
O 16.00 O.upf
ATOMIC_POSITIONS angstrom
Mo 0.0000 0.0000 2.9354
Mo 0.0000 2.9354 0.0000
Ca 0.0000 0.0000 0.0000
O 2.9354 2.9354 2.9354
Mo 2.9354 0.0000 0.0000
CELL_PARAMETERS angstrom
5.8709 0.0000 0.0000
0.0000 5.8709 0.0000
0.0000 0.0000 5.8709
```